Record 1
The following is a GGA-PBE calculation of Li3YAg3 after structural relaxation, from the Alexandria database.

Fermi-level density of states: 0.490 states/eV/atom
V: 306 Å³/cell
total DFT energy (no corrections): -2.741 eV/atom

a = 6.737 Å, b = 6.737 Å, c = 6.737 Å
α = 90.00°, β = 90.00°, γ = 90.00°
Space group Pm-3n (No. 223)
Unique sites:
1 Li 0.000 0.250 0.500 [6 per cell]
2 Y 0.000 0.000 0.000 [2 per cell]
3 Ag 0.000 0.500 0.250 [6 per cell]



Record 2
The following is a GGA-PBE calculation of Li8YAg6 after structural relaxation, from the Alexandria database.

Fermi-level density of states: 0.345 states/eV/atom
V: 842 Å³/cell
total DFT energy (no corrections): -2.680 eV/atom

a = 7.6849 Å, b = 7.6849 Å, c = 16.4641 Å
α = 90.00°, β = 90.00°, γ = 120.00°
Space group R-3 (No. 148, hexagonal axes)
Unique sites:
1 Li 0.0000 0.0000 0.2440 [6 per cell]
2 Li 0.0041 0.3283 0.3696 [18 per cell]
3 Y 0.0000 0.0000 0.5000 [3 per cell]
4 Ag 0.0128 0.7632 0.1242 [18 per cell]



Repeat the first record exactly.
The following is a GGA-PBE calculation of Li3YAg3 after structural relaxation, from the Alexandria database.

Fermi-level density of states: 0.490 states/eV/atom
V: 306 Å³/cell
total DFT energy (no corrections): -2.741 eV/atom

a = 6.737 Å, b = 6.737 Å, c = 6.737 Å
α = 90.00°, β = 90.00°, γ = 90.00°
Space group Pm-3n (No. 223)
Unique sites:
1 Li 0.000 0.250 0.500 [6 per cell]
2 Y 0.000 0.000 0.000 [2 per cell]
3 Ag 0.000 0.500 0.250 [6 per cell]